SrPu2NiO8 | GGA+U | optimized geometry

Lattice parameters (Å, degrees): 6.293 6.293 6.293 111.14 111.14 106.19
Element x y z (fractional)
Sr: 0.000 0.000 0.000
Pu: 0.500 0.500 0.000
Pu: 0.750 0.250 0.500
Ni: 0.250 0.750 0.500
O: 0.316 0.112 0.796
O: 0.316 0.519 0.204
O: 0.382 0.055 0.328
O: 0.481 0.684 0.796
O: 0.727 0.055 0.672
O: 0.888 0.684 0.204
O: 0.945 0.273 0.328
O: 0.945 0.618 0.672

Output
* total energy: -7.8647 eV per atom
* crystal system: tetragonal
* magnetization: 5.99 μB/cell